This record from Alexandria describes a relaxed structure of Sr2NiIO6. The functional is PBE with a Hubbard U.

abc: 5.731 5.717 9.904
angles: 90.00 125.36 90.00
Positions (direct):
Sr: 0.246 0.023 0.251
Sr: 0.246 0.477 0.751
Sr: 0.754 0.523 0.249
Sr: 0.754 0.977 0.749
Ni: 0.500 0.000 0.000
Ni: 0.500 0.500 0.500
I: 0.000 0.000 0.500
I: 0.000 0.500 0.000
O: 0.185 0.228 0.969
O: 0.185 0.272 0.469
O: 0.239 0.719 0.969
O: 0.239 0.781 0.469
O: 0.304 0.010 0.745
O: 0.304 0.490 0.245
O: 0.696 0.510 0.755
O: 0.696 0.990 0.255
O: 0.761 0.219 0.531
O: 0.761 0.281 0.031
O: 0.815 0.728 0.531
O: 0.815 0.772 0.031

Summary:
Final energy, eV per atom: -5.31